(1)
Density functional theory data (PBE-GGA) for a relaxed structure of ZrPt2W.

Cell and atoms, written as extended XYZ:
```
4
Lattice="4.763 -1.435 0.000 4.763 1.435 0.000 -0.856 0.000 4.994" Properties=species:S:1:pos:R:3 pbc="T T T"
Zr 0.000 0.000 0.000
Pt 1.694 0.000 3.676
Pt 6.976 0.000 1.317
W 4.335 0.000 2.497
```

Properties
Spin magnetization in μB/atom: 0.00
Formation energy in eV/f.u.: -1.0
Density of states at the Fermi level in states/eV/f.u.: 2.9
Total DFT energy (no corrections) in eV/atom: -8.65



(2)
Density functional theory data (PBE-GGA) for a relaxed structure of AcEr5Tl3.

Cell and atoms, written as extended XYZ:
```
18
Lattice="9.441 0.000 0.000 -4.721 8.176 0.000 0.000 0.000 6.829" Properties=species:S:1:pos:R:3 pbc="T T T"
Ac 0.000 0.000 0.000
Ac 0.000 0.000 3.415
Er -1.579 2.735 1.707
Er -3.141 5.441 5.122
Er 0.000 5.451 0.000
Er 0.000 5.451 3.415
Er 3.158 0.000 1.707
Er 1.579 2.735 5.122
Er 6.283 0.000 5.122
Er 3.141 5.441 1.707
Er 4.721 2.725 0.000
Er 4.721 2.725 3.415
Tl -1.615 2.797 5.122
Tl -3.106 5.379 1.707
Tl 3.230 0.000 5.122
Tl 1.615 2.797 1.707
Tl 6.211 0.000 1.707
Tl 3.106 5.379 5.122
```

Properties
Spin magnetization in μB/atom: 0.04
Formation energy in eV/f.u.: -1.8
Density of states at the Fermi level in states/eV/f.u.: 10.1
Total DFT energy (no corrections) in eV/atom: -3.98



(3)
Density functional theory data (PBE-GGA) for a relaxed structure of KCrTcC2.

Cell and atoms, written as extended XYZ:
```
5
Lattice="4.137 0.000 0.000 0.000 4.137 0.000 0.000 0.000 4.716" Properties=species:S:1:pos:R:3 pbc="T T T"
K 0.000 0.000 0.000
Cr 2.068 2.068 0.000
Tc 2.068 2.068 2.358
C 0.000 2.068 2.358
C 2.068 0.000 2.358
```

Properties
Spin magnetization in μB/atom: 0.03
Formation energy in eV/f.u.: 8.9
Density of states at the Fermi level in states/eV/f.u.: 5.6
Total DFT energy (no corrections) in eV/atom: -6.13



(4)
Density functional theory data (PBE-GGA) for a relaxed structure of CuAsNO2.

Cell and atoms, written as extended XYZ:
```
5
Lattice="3.734 0.000 0.000 0.000 3.734 0.000 0.000 0.000 3.812" Properties=species:S:1:pos:R:3 pbc="T T T"
Cu 0.000 0.000 0.000
As 1.867 1.867 1.906
N 0.000 0.000 1.906
O 0.000 1.867 0.000
O 1.867 0.000 0.000
```

Properties
Spin magnetization in μB/atom: 0.00
Density of states at the Fermi level in states/eV/f.u.: 2.8
Total DFT energy (no corrections) in eV/atom: -4.73
Formation energy from raw total energies in eV/atom: 0.668